Compound: YTmW2C3
Source: OQMD
Functional: PBE
Structure: optimized geometry

Structure (extended XYZ):
```
7
Lattice="0.656 6.065 0.246 -1.687 5.508 -2.023 -3.500 -1.868 4.073" Properties=species:S:1:pos:R:3 pbc="T T T"
W -3.228 8.518 1.242
W -1.303 1.185 1.054
C -3.491 -1.852 4.060
C -2.831 1.491 2.557
C -1.695 8.190 -0.261
Y -1.036 4.180 0.044
Tm -3.513 5.534 2.268
```

Summary:
* final energy: -9.58 eV per atom